A relaxed Sm4BiTe3 crystal, computed with PBE.

Calculated values
* Fermi-level density of states: 7.38 states/eV per cell
* crystal system: orthorhombic
* magnetization: 0.0 μB per formula unit
* formation energy (no corrections): -1.2808 eV/atom

Cell lengths 8.9768, 12.6488, 4.4599 Å; angles 90.00, 90.00, 90.00 degrees
Last column: nearest neighbours and their distance in Å.
Space group Cmmm (No. 65)
Inequivalent atoms, fractional coordinates:
1 Sm 0.0000 0.2492 0.0000 x4  5 Te 3.15-3.16, 1 Bi 3.17
2 Sm 0.2489 0.0000 0.5000 x4  4 Te 3.16, 2 Bi 3.17
3 Bi 0.0000 0.5000 0.0000 x2  6 Sm 3.17
4 Te 0.0000 0.0000 0.0000 x2  6 Sm 3.15-3.16
5 Te 0.2500 0.2500 0.5000 x4  6 Sm 3.16